A plane-wave DFT calculation with GGA-PBE was carried out for a geometry-optimized Er4SbAu structure.

Values from the calculation:
As for the formation energy (no corrections): -0.4443 eV per atom. The theoretical density comes out at 8.94 g/cm³. For the energy above the lowest structure with this stoichiometry, the calculation gives 229.1 meV per atom. The calculation puts the uncorrected energy at -4.72 eV per atom.

a = 7.130 Å, b = 7.180 Å, c = 7.169 Å
α = 90.00°, β = 90.47°, γ = 90.00°
Space group P2_1/c (No. 14)
Inequivalent atoms, fractional coordinates:
1 Er 0.143 0.164 0.168 x4
2 Er 0.338 0.646 0.144 x4
3 Sb 0.500 0.000 0.000 x2
4 Au 0.000 0.000 0.500 x2



A plane-wave DFT calculation with GGA-PBE was carried out for a geometry-optimized Rb2Pr2SbS6 structure.

Values from the calculation:
As for the formation energy (no corrections): -1.3269 eV per atom. The theoretical density comes out at 3.65 g/cm³. The calculation puts the uncorrected energy at -5.00 eV per atom.

a = 7.185 Å, b = 12.309 Å, c = 8.254 Å
α = 90.00°, β = 106.88°, γ = 90.00°
Space group C2/m (No. 12)
Inequivalent atoms, fractional coordinates:
1 Rb 0.000 0.169 0.000 x4
2 Pr 0.000 0.333 0.500 x4
3 Sb 0.000 0.000 0.500 x2
4 S 0.220 0.157 0.689 x8
5 S 0.245 0.000 0.312 x4



- Among the records above, which one has the lowest theoretical density?
  Rb2Pr2SbS6



- formation energy (no corrections) of number 2 (Rb2Pr2SbS6)?
  -1.3269 eV per atom



- Look up the theoretical density of the second one.
  3.65 g/cm³



- Which value of theoretical density does entry 2 give?
  3.65 g/cm³